! La3NdPPb2, relaxed, DFT PBE; values from VASP
&SYSTEM
  ibrav = 0, nat = 7, ntyp = 4
/
ATOMIC_SPECIES
La 138.91 La.upf
Nd 144.24 Nd.upf
P 30.97 P.upf
Pb 207.20 Pb.upf
CELL_PARAMETERS angstrom
-2.698 2.724 8.500
2.698 -2.724 8.500
2.698 2.724 -8.500
ATOMIC_POSITIONS crystal
La 0.000 0.000 0.000
La 0.330 0.830 0.500
La 0.670 0.170 0.500
Nd 0.500 0.500 0.000
P 0.500 0.000 0.500
Pb 0.134 0.634 0.500
Pb 0.866 0.366 0.500
! Formation energy from the elements   -0.71 eV per atom
! Volume   250 Å³ per cell